Record 1
Pr4CdGa: optimized geometry, PBE.

Properties
V   748.8 Å³/cell
Energy relative to the lowest polymorph listed for this composition   0.000 eV/atom
Formation energy   -0.2592 eV/atom
D(E_F)   1.2995 states/eV per atom

Cell lengths 10.193, 10.193, 10.193 Å; angles 60.00, 60.00, 60.00 degrees
Positions (direct):
Pr (0.184, 0.816, 0.184)
Pr (0.184, 0.184, 0.816)
Pr (0.941, 0.559, 0.559)
Pr (0.184, 0.816, 0.816)
Pr (0.390, 0.390, 0.390)
Pr (0.816, 0.184, 0.184)
Pr (0.830, 0.390, 0.390)
Pr (0.559, 0.941, 0.941)
Pr (0.816, 0.816, 0.184)
Pr (0.941, 0.941, 0.559)
Pr (0.559, 0.941, 0.559)
Pr (0.390, 0.830, 0.390)
Pr (0.390, 0.390, 0.830)
Pr (0.816, 0.184, 0.816)
Pr (0.941, 0.559, 0.941)
Pr (0.559, 0.559, 0.941)
Ga (0.605, 0.605, 0.605)
Ga (0.605, 0.184, 0.605)
Ga (0.184, 0.605, 0.605)
Ga (0.605, 0.605, 0.184)
Cd (0.170, 0.491, 0.170)
Cd (0.170, 0.170, 0.491)
Cd (0.170, 0.170, 0.170)
Cd (0.491, 0.170, 0.170)

=====

Record 2
PrCd4Ga2: optimized geometry, PBE.

Properties
V   156.3 Å³/cell
Formation energy   -0.2787 eV/atom
D(E_F)   0.3133 states/eV per atom

Cell lengths 4.418, 4.470, 8.223 Å; angles 105.77, 90.00, 90.00 degrees
Positions (direct):
Ga (0.500, 0.577, 0.154)
Ga (0.500, 0.423, 0.846)
Pr (0.000, 0.000, 0.000)
Cd (0.000, 0.683, 0.366)
Cd (0.500, 0.823, 0.645)
Cd (0.000, 0.317, 0.634)
Cd (0.500, 0.177, 0.355)

=====

Record 3
PrCd2Ga: optimized geometry, PBE.

Properties
V   198.1 Å³/cell
Energy relative to the lowest polymorph listed for this composition   0.000 eV/atom
Formation energy   -0.3530 eV/atom
D(E_F)   0.5770 states/eV per atom

Cell lengths 4.297, 4.558, 10.344 Å; angles 90.00, 101.99, 90.00 degrees
Positions (direct):
Ga (0.834, 0.750, 0.669)
Ga (0.166, 0.250, 0.331)
Cd (0.751, 0.250, 0.502)
Cd (0.964, 0.750, 0.928)
Cd (0.249, 0.750, 0.498)
Cd (0.036, 0.250, 0.072)
Pr (0.614, 0.750, 0.229)
Pr (0.386, 0.250, 0.771)

=====

Record 4
Pr6Cd2Ga: optimized geometry, PBE.

Properties
V   568.6 Å³/cell
Formation energy   -0.1926 eV/atom
D(E_F)   1.3524 states/eV per atom

Cell lengths 9.048, 9.048, 9.048 Å; angles 113.03, 108.14, 107.30 degrees
Positions (direct):
Cd (0.364, 0.000, 0.364)
Cd (0.500, 0.641, 0.141)
Cd (0.636, 0.000, 0.636)
Cd (0.500, 0.359, 0.859)
Pr (0.918, 0.743, 0.175)
Pr (0.808, 0.741, 0.549)
Pr (0.740, 0.412, 0.672)
Pr (0.082, 0.257, 0.825)
Pr (0.260, 0.931, 0.672)
Pr (0.740, 0.069, 0.328)
Pr (0.808, 0.259, 0.067)
Pr (0.260, 0.588, 0.328)
Pr (0.192, 0.259, 0.451)
Pr (0.432, 0.257, 0.175)
Pr (0.568, 0.743, 0.825)
Pr (0.192, 0.741, 0.933)
Ga (0.000, 0.000, 0.000)
Ga (0.000, 0.500, 0.500)

=====

Record 5
PrCdGa2: optimized geometry, PBE.

Properties
V   91.2 Å³/cell
Energy relative to the lowest polymorph listed for this composition   0.104 eV/atom
Formation energy   -0.3092 eV/atom
D(E_F)   0.6093 states/eV per atom

Cell lengths 5.052, 5.052, 5.052 Å; angles 60.00, 60.00, 60.00 degrees
Positions (direct):
Cd (0.000, 0.000, 0.000)
Ga (0.250, 0.250, 0.250)
Ga (0.750, 0.750, 0.750)
Pr (0.500, 0.500, 0.500)

=====

Record 6
PrCd3Ga2: optimized geometry, PBE.

Properties
V   277.1 Å³/cell
Formation energy   -0.2898 eV/atom
D(E_F)   0.2826 states/eV per atom

Cell lengths 4.575, 8.641, 8.639 Å; angles 58.36, 74.64, 74.65 degrees
Positions (direct):
Ga (0.199, 0.301, 0.301)
Ga (0.801, 0.699, 0.699)
Ga (0.500, 0.148, 0.852)
Ga (0.500, 0.852, 0.148)
Cd (0.667, 0.133, 0.532)
Cd (0.000, 0.665, 0.335)
Cd (0.668, 0.532, 0.132)
Cd (0.332, 0.468, 0.868)
Cd (0.000, 0.335, 0.665)
Cd (0.333, 0.867, 0.468)
Pr (0.865, 0.135, 0.135)
Pr (0.135, 0.865, 0.865)

=====

Record 7
PrCd2Ga: optimized geometry, PBE.

Properties
V   98.3 Å³/cell
Energy relative to the lowest polymorph listed for this composition   0.010 eV/atom
Formation energy   -0.3428 eV/atom
D(E_F)   0.7410 states/eV per atom

Cell lengths 4.939, 4.461, 4.461 Å; angles 90.00, 90.00, 90.00 degrees
Positions (direct):
Pr (0.500, 0.000, 0.000)
Ga (0.500, 0.500, 0.500)
Cd (0.000, 0.500, 0.000)
Cd (0.000, 0.000, 0.500)

=====

Record 8
Pr7CdGa5: optimized geometry, PBE.

Properties
V   359.5 Å³/cell
Formation energy   -0.3545 eV/atom
D(E_F)   0.8160 states/eV per atom

Cell lengths 6.514, 8.121, 8.121 Å; angles 76.95, 66.36, 66.36 degrees
Positions (direct):
Pr (0.284, 0.216, 0.216)
Pr (0.007, 0.674, 0.311)
Pr (0.007, 0.311, 0.674)
Pr (0.527, 0.152, 0.794)
Pr (0.527, 0.794, 0.152)
Pr (0.625, 0.375, 0.375)
Pr (0.258, 0.742, 0.742)
Ga (0.987, 0.992, 0.481)
Ga (0.541, 0.992, 0.481)
Ga (0.541, 0.481, 0.992)
Ga (0.987, 0.481, 0.992)
Ga (0.769, 0.731, 0.731)
Cd (0.940, 0.060, 0.060)

=====

Record 9
Pr6CdGa5: optimized geometry, PBE.

Properties
V   318.1 Å³/cell
Formation energy   -0.5034 eV/atom
D(E_F)   0.8174 states/eV per atom

Cell lengths 5.316, 7.507, 8.408 Å; angles 90.00, 71.45, 90.00 degrees
Positions (direct):
Pr (0.830, 0.748, 0.340)
Pr (0.500, 0.256, 0.000)
Pr (0.830, 0.252, 0.340)
Pr (0.500, 0.744, 0.000)
Pr (0.170, 0.748, 0.660)
Pr (0.170, 0.252, 0.660)
Ga (0.660, 0.000, 0.679)
Ga (0.000, 0.500, 0.000)
Ga (0.665, 0.500, 0.669)
Ga (0.340, 0.000, 0.321)
Ga (0.335, 0.500, 0.331)
Cd (0.000, 0.000, 0.000)

=====

Record 10
Pr2CdGa3: optimized geometry, PBE.

Properties
V   285.6 Å³/cell
Energy relative to the lowest polymorph listed for this composition   0.003 eV/atom
Formation energy   -0.5564 eV/atom
D(E_F)   0.6131 states/eV per atom

Cell lengths 6.041, 6.041, 8.841 Å; angles 106.89, 106.89, 98.60 degrees
Positions (direct):
Ga (0.837, 0.837, 0.675)
Ga (0.838, 0.325, 0.163)
Ga (0.325, 0.838, 0.163)
Ga (0.163, 0.163, 0.325)
Ga (0.162, 0.675, 0.837)
Ga (0.675, 0.162, 0.837)
Cd (0.667, 0.667, 0.334)
Cd (0.333, 0.333, 0.666)
Pr (0.750, 0.250, 0.500)
Pr (0.250, 0.250, 0.000)
Pr (0.250, 0.750, 0.500)
Pr (0.750, 0.750, 0.000)

=====

Record 11
Pr3Cd7Ga4: optimized geometry, PBE.

Properties
V   324.1 Å³/cell
Formation energy   -0.3786 eV/atom
D(E_F)   0.2940 states/eV per atom

Cell lengths 4.588, 8.836, 8.929 Å; angles 70.72, 75.11, 74.95 degrees
Positions (direct):
Pr (0.300, 0.187, 0.213)
Pr (0.000, 0.500, 0.500)
Pr (0.700, 0.813, 0.787)
Cd (0.489, 0.206, 0.815)
Cd (0.511, 0.794, 0.185)
Cd (0.000, 0.000, 0.000)
Cd (0.660, 0.194, 0.486)
Cd (0.340, 0.806, 0.514)
Cd (0.840, 0.389, 0.930)
Cd (0.160, 0.611, 0.070)
Ga (0.654, 0.459, 0.234)
Ga (0.863, 0.923, 0.352)
Ga (0.346, 0.541, 0.766)
Ga (0.137, 0.077, 0.648)

=====

Record 12
Pr7Cd2Ga2: optimized geometry, PBE.

Properties
V   355.0 Å³/cell
Formation energy   -0.0466 eV/atom
D(E_F)   1.2619 states/eV per atom

Cell lengths 6.682, 8.446, 6.682 Å; angles 90.00, 109.75, 90.00 degrees
Positions (direct):
Cd (0.696, 0.000, 0.304)
Cd (0.304, 0.000, 0.696)
Pr (0.500, 0.702, 0.000)
Pr (0.500, 0.714, 0.500)
Pr (0.500, 0.298, 0.000)
Pr (0.500, 0.286, 0.500)
Pr (0.000, 0.000, 0.000)
Pr (0.000, 0.702, 0.500)
Pr (0.000, 0.298, 0.500)
Ga (0.835, 0.500, 0.835)
Ga (0.165, 0.500, 0.165)

=====

Record 13
Pr2CdGa3: optimized geometry, PBE.

Properties
V   146.9 Å³/cell
Energy relative to the lowest polymorph listed for this composition   0.000 eV/atom
Formation energy   -0.5590 eV/atom
D(E_F)   0.7306 states/eV per atom

Cell lengths 4.115, 4.562, 8.404 Å; angles 105.75, 104.17, 90.00 degrees
Positions (direct):
Pr (0.137, 0.137, 0.273)
Pr (0.862, 0.362, 0.724)
Cd (0.460, 0.960, 0.920)
Ga (0.705, 0.705, 0.410)
Ga (0.545, 0.545, 0.090)
Ga (0.291, 0.791, 0.582)

=====

Record 14
Pr5CdGa2: optimized geometry, PBE.

Properties
V   482.7 Å³/cell
Energy relative to the lowest polymorph listed for this composition   0.000 eV/atom
Formation energy   -0.3566 eV/atom
D(E_F)   0.9764 states/eV per atom

Cell lengths 7.892, 7.892, 9.550 Å; angles 114.41, 114.41, 90.00 degrees
Positions (direct):
Pr (0.473, 0.316, 0.289)
Pr (0.500, 0.500, 0.000)
Pr (0.973, 0.473, 0.289)
Pr (0.816, 0.973, 0.289)
Pr (0.184, 0.027, 0.711)
Pr (0.684, 0.184, 0.711)
Pr (0.316, 0.816, 0.289)
Pr (0.027, 0.527, 0.711)
Pr (0.527, 0.684, 0.711)
Pr (0.000, 0.000, 0.000)
Ga (0.617, 0.117, 0.000)
Ga (0.883, 0.617, 0.000)
Ga (0.383, 0.883, 0.000)
Ga (0.117, 0.383, 0.000)
Cd (0.250, 0.250, 0.500)
Cd (0.750, 0.750, 0.500)

=====

Record 15
PrCdGa2: optimized geometry, PBE.

Properties
V   96.9 Å³/cell
Energy relative to the lowest polymorph listed for this composition   0.129 eV/atom
Formation energy   -0.2849 eV/atom
D(E_F)   0.3857 states/eV per atom

Cell lengths 3.493, 5.343, 5.343 Å; angles 103.54, 90.00, 90.00 degrees
Positions (direct):
Pr (0.000, 0.006, 0.994)
Cd (0.500, 0.600, 0.400)
Ga (0.500, 0.116, 0.507)
Ga (0.500, 0.493, 0.884)

=====

Record 16
Pr6CdGa3: optimized geometry, PBE.

Properties
V   612.5 Å³/cell
Formation energy   -0.2490 eV/atom
D(E_F)   0.9105 states/eV per atom

Cell lengths 8.096, 8.128, 9.315 Å; angles 90.00, 92.29, 90.00 degrees
Positions (direct):
Pr (0.150, 0.330, 0.432)
Pr (0.674, 0.157, 0.572)
Pr (0.350, 0.830, 0.068)
Pr (0.650, 0.170, 0.932)
Pr (0.243, 0.106, 0.744)
Pr (0.743, 0.394, 0.244)
Pr (0.257, 0.606, 0.756)
Pr (0.174, 0.343, 0.072)
Pr (0.826, 0.657, 0.928)
Pr (0.850, 0.670, 0.568)
Pr (0.757, 0.894, 0.256)
Pr (0.326, 0.843, 0.428)
Cd (0.000, 0.000, 0.000)
Cd (0.500, 0.500, 0.500)
Ga (0.453, 0.144, 0.252)
Ga (0.047, 0.644, 0.248)
Ga (0.500, 0.500, 0.000)
Ga (0.000, 0.000, 0.500)
Ga (0.547, 0.856, 0.748)
Ga (0.953, 0.356, 0.752)

=====

Record 17
Pr5CdGa2: optimized geometry, PBE.

Properties
V   226.9 Å³/cell
Energy relative to the lowest polymorph listed for this composition   0.072 eV/atom
Formation energy   -0.2846 eV/atom
D(E_F)   1.0485 states/eV per atom

Cell lengths 7.096, 7.096, 6.746 Å; angles 121.75, 121.75, 89.96 degrees
Positions (direct):
Pr (0.722, 0.222, 0.944)
Pr (0.222, 0.722, 0.944)
Pr (0.222, 0.222, 0.944)
Pr (0.722, 0.722, 0.944)
Pr (0.722, 0.722, 0.444)
Ga (0.222, 0.722, 0.444)
Ga (0.722, 0.222, 0.444)
Cd (0.222, 0.222, 0.444)

=====

Record 18
Pr4CdGa12: optimized geometry, PBE.

Properties
V   361.4 Å³/cell
Formation energy   -0.5145 eV/atom
D(E_F)   0.4984 states/eV per atom

Cell lengths 7.772, 7.772, 7.772 Å; angles 109.47, 109.47, 109.47 degrees
Positions (direct):
Ga (0.500, 0.250, 0.750)
Ga (0.000, 0.316, 0.316)
Ga (0.750, 0.250, 0.500)
Ga (0.250, 0.500, 0.750)
Ga (0.684, 0.684, 0.000)
Ga (0.750, 0.500, 0.250)
Ga (0.250, 0.750, 0.500)
Ga (0.316, 0.316, 0.000)
Ga (0.316, 0.000, 0.316)
Ga (0.500, 0.750, 0.250)
Ga (0.000, 0.684, 0.684)
Ga (0.684, 0.000, 0.684)
Cd (0.000, 0.000, 0.000)
Pr (0.000, 0.500, 0.000)
Pr (0.500, 0.000, 0.000)
Pr (0.500, 0.500, 0.500)
Pr (0.000, 0.000, 0.500)

=====

Record 19
Pr2CdGa3Pt4: optimized geometry, PBE.

Properties
V   201.3 Å³/cell
Formation energy   -0.8678 eV/atom
D(E_F)   0.6025 states/eV per atom

Cell lengths 4.168, 4.168, 11.586 Å; angles 90.00, 90.00, 90.00 degrees
Positions (direct):
Ga (0.500, 0.000, 0.873)
Ga (0.000, 0.500, 0.127)
Ga (0.000, 0.000, 0.500)
Pt (0.500, 0.000, 0.657)
Pt (0.000, 0.500, 0.343)
Pt (0.500, 0.500, 0.000)
Pt (0.000, 0.000, 0.000)
Pr (0.000, 0.500, 0.755)
Pr (0.500, 0.000, 0.245)
Cd (0.500, 0.500, 0.500)

=====

Record 20
Pr2CdGa2Pt5: optimized geometry, PBE.

Properties
V   386.7 Å³/cell
Formation energy   -0.7492 eV/atom
D(E_F)   0.4509 states/eV per atom

Cell lengths 3.839, 10.038, 10.038 Å; angles 90.00, 90.00, 90.00 degrees
Positions (direct):
Pt (0.500, 0.438, 0.287)
Pt (0.500, 0.938, 0.213)
Pt (0.500, 0.213, 0.062)
Pt (0.500, 0.062, 0.787)
Pt (0.500, 0.287, 0.562)
Pt (0.500, 0.787, 0.938)
Pt (0.500, 0.000, 0.500)
Pt (0.500, 0.562, 0.713)
Pt (0.500, 0.713, 0.438)
Pt (0.500, 0.500, 0.000)
Ga (0.000, 0.120, 0.620)
Ga (0.000, 0.620, 0.880)
Ga (0.000, 0.380, 0.120)
Ga (0.000, 0.880, 0.380)
Pr (0.000, 0.179, 0.321)
Pr (0.000, 0.679, 0.179)
Pr (0.000, 0.821, 0.679)
Pr (0.000, 0.321, 0.821)
Cd (0.000, 0.500, 0.500)
Cd (0.000, 0.000, 0.000)

=====

| no. | calculated density (g/cm³) |
| --- | --- |
| 1 | 6.6 |
| 2 | 7.8 |
| 3 | 7.3 |
| 4 | 6.7 |
| 5 | 7.2 |
| 6 | 7.4 |
| 7 | 7.4 |
| 8 | 6.7 |
| 9 | 6.8 |
| 10 | 7.0 |
| 11 | 7.6 |
| 12 | 6.3 |
| 13 | 6.8 |
| 14 | 6.6 |
| 15 | 6.7 |
| 16 | 6.3 |
| 17 | 7.0 |
| 18 | 6.9 |
| 19 | 11.4 |
| 20 | 13.0 |